# 1
DFT (PBE with a Hubbard U) results for crystalline CoMoI2O at its relaxed geometry.

Unit cell a=5.846 b=5.846 c=3.848 alpha=90.00 beta=90.00 gamma=90.00
Sites, in units of the cell vectors:
Mo: 0.000 0.000 0.000
Co: 0.500 0.500 0.500
O: 0.000 0.000 0.500
I: 0.000 0.500 0.000
I: 0.500 0.000 0.000

## Properties
Relative energy among the computed polymorphs = 0.1670 eV per atom
Total energy = -0.2739 Ry/atom
Symmetry = P4/mmm (123)

---

# 2
DFT (PBE with a Hubbard U) results for crystalline CoMoI2O at its relaxed geometry.

Unit cell a=5.739 b=5.739 c=3.647 alpha=90.00 beta=90.00 gamma=90.00
Sites, in units of the cell vectors:
Co: 0.000 0.000 0.000
I: 0.000 0.500 0.000
I: 0.500 0.000 0.000
O: 0.000 0.000 0.500
Mo: 0.500 0.500 0.500

## Properties
Relative energy among the computed polymorphs = 0.0000 eV per atom
Total energy = -0.2861 Ry/atom
Symmetry = P4/mmm (123)

---

Q: The lowest total energy belongs to which entry?
A: number 2